[1]
This record from the Alexandria database describes a relaxed structure of Li3MgTi8O16. The functional is PBE.

Geometry as extended XYZ:
```
28
Lattice="10.460 0.003 0.002 8.749 5.733 0.002 8.749 2.612 5.103" Properties=species:S:1:pos:R:3 pbc="T T T"
Li 5.269 1.573 0.962
Li 8.635 2.579 1.577
Li 22.746 6.792 4.155
Mg 27.920 8.337 5.100
Ti 16.591 4.954 1.236
Ti 14.007 4.183 2.559
Ti 15.714 6.291 3.848
Ti 16.591 3.356 3.848
Ti 19.235 5.744 3.514
Ti 11.429 3.413 3.801
Ti 11.429 4.938 1.307
Ti 12.265 2.137 1.307
O 14.955 5.860 2.019
O 15.719 3.300 2.019
O 14.955 4.466 4.298
O 17.413 5.200 3.181
O 24.600 7.346 4.493
O 7.721 2.306 3.313
O 7.721 4.000 0.544
O 8.650 0.889 0.544
O 20.140 4.404 4.503
O 19.257 7.361 4.503
O 20.140 6.014 1.870
O 3.283 0.981 0.600
O 10.667 3.185 1.949
O 13.033 3.892 0.788
O 12.255 5.077 3.106
O 13.033 2.474 3.106
```

Results
Spin magnetization: 0.0 μB per formula unit
DOS(E_F): 10.7 states/eV/cell
Uncorrected energy: -228.59 eV for the cell shown
Formation energy from raw total energies: -2.81 eV/atom

***

[2]
This record from the Alexandria database describes a relaxed structure of SrLaZn2. The functional is PBE.

Geometry as extended XYZ:
```
4
Lattice="-4.255 0.904 -4.627 1.509 -1.583 -5.962 0.213 -2.612 5.785" Properties=species:S:1:pos:R:3 pbc="T T T"
La -1.373 -0.340 -5.294
Sr -2.708 -1.024 -2.068
Zn 0.000 0.000 0.000
Zn 0.174 -2.267 -2.736
```

Results
Spin magnetization: 0.2 μB per formula unit
DOS(E_F): 6.0 states/eV/cell
Uncorrected energy: -9.19 eV for the cell shown
Energy of formation from the pure elements: -0.007 eV per atom

***

[3]
This record from the Alexandria database describes a relaxed structure of Sm7Ru2Rh2. The functional is PBE.

Geometry as extended XYZ:
```
11
Lattice="6.574 0.006 -0.860 0.013 6.969 -0.006 -1.268 -0.011 6.507" Properties=species:S:1:pos:R:3 pbc="T T T"
Sm 5.939 1.936 2.396
Sm 2.032 5.026 6.069
Sm -0.620 5.028 3.245
Sm 3.286 1.939 -0.427
Sm 0.000 0.000 0.000
Sm 2.667 5.152 2.815
Sm 2.652 1.813 2.826
Ru 4.413 3.481 4.687
Ru 0.905 3.484 0.954
Rh 4.320 0.002 1.257
Rh 0.998 6.963 4.384
```

Results
Spin magnetization: 0.0 μB per formula unit
DOS(E_F): 7.2 states/eV/cell
Uncorrected energy: -68.43 eV for the cell shown
Energy of formation from the pure elements: -0.195 eV per atom

***

[4]
This record from the Alexandria database describes a relaxed structure of Re2SiPt. The functional is PBE.

Geometry as extended XYZ:
```
8
Lattice="4.623 -0.001 0.001 -0.095 5.206 0.001 -2.217 -0.510 4.976" Properties=species:S:1:pos:R:3 pbc="T T T"
Re 3.746 5.066 1.267
Re 1.503 3.999 1.942
Re 0.602 0.386 3.806
Re -1.729 4.327 4.059
Si 0.576 2.954 4.369
Si 1.724 1.256 1.630
Pt -1.763 1.716 4.876
Pt -0.817 2.399 2.364
```

Results
Spin magnetization: 0.0 μB per formula unit
DOS(E_F): 4.1 states/eV/cell
Uncorrected energy: -73.37 eV for the cell shown
Formation energy from raw total energies: -0.08 eV/atom

***

[5]
This record from the Alexandria database describes a relaxed structure of P4S5. The functional is PBE.

Geometry as extended XYZ:
```
18
Lattice="12.210 0.000 0.000 0.000 6.761 -0.006 0.000 3.251 6.292" Properties=species:S:1:pos:R:3 pbc="T T T"
P 9.157 4.033 4.056
P 3.052 5.980 2.229
P 9.157 6.538 1.430
P 3.052 3.474 4.855
P 10.326 3.384 0.942
P 4.221 6.629 5.344
P 1.884 6.629 5.344
P 7.989 3.384 0.942
S 9.157 6.107 3.529
S 3.052 3.906 2.757
S 10.751 5.429 0.552
S 4.646 4.583 5.734
S 1.459 4.583 5.734
S 7.564 5.429 0.552
S 10.752 3.096 2.999
S 4.647 6.916 3.286
S 1.458 6.916 3.286
S 7.563 3.096 2.999
```

Results
Spin magnetization: 0.0 μB per formula unit
DOS(E_F): 0.0 states/eV/cell
Uncorrected energy: -87.23 eV for the cell shown
Formation energy from raw total energies: -0.15 eV/atom

***

[6]
This record from the Alexandria database describes a relaxed structure of FeNiSb2Pt. The functional is PBE.

Geometry as extended XYZ:
```
5
Lattice="-2.305 -4.216 1.811 -0.288 -1.753 -4.447 4.578 -2.249 0.590" Properties=species:S:1:pos:R:3 pbc="T T T"
Sb 2.289 -1.125 0.295
Sb -1.152 -2.108 0.906
Fe -0.144 -0.876 -2.224
Pt 0.000 0.000 0.000
Ni 0.992 -4.109 -1.023
```

Results
Spin magnetization: 3.6 μB per formula unit
DOS(E_F): 7.0 states/eV/cell
Uncorrected energy: -23.65 eV for the cell shown
Formation energy from raw total energies: 0.98 eV/atom